Record 1
The following is a GGA-PBE calculation of a geometry-optimized CrGaSbSe2 structure, from Alexandria via LeMat-Bulk.

Lattice parameters (Å, degrees): 4.5968 4.5968 5.5846 90.00 90.00 90.00
Closest atoms and distances in Å follow each position.
Space group P4/mmm (No. 123)
One atom of each set of equivalent atoms:
Cr (0.0000, 0.0000, 0.0000)  4 Se 2.30
Ga (0.5000, 0.5000, 0.5000)  4 Sb 3.25, 8 Se 3.62
Sb (0.0000, 0.0000, 0.5000)  2 Cr 2.79
Se (0.0000, 0.5000, 0.0000)  2 Cr 2.30

***

Record 2
The following is a GGA-PBE calculation of a geometry-optimized CrGaSb2Te structure, from Alexandria via LeMat-Bulk.

Summary:
ΔE to the lowest computed polymorph, meV/atom: 925

Lattice parameters (Å, degrees): 5.1973 5.1973 5.3286 90.00 90.00 90.00
Closest atoms and distances in Å follow each position.
Space group P4/mmm (No. 123)
One atom of each set of equivalent atoms:
Cr (0.0000, 0.0000, 0.0000)  4 Te 3.68, 8 Sb 3.72
Ga (0.5000, 0.5000, 0.5000)  4 Sb 2.60, 2 Te 2.66
Sb (0.0000, 0.5000, 0.5000)  2 Ga 2.60
Te (0.5000, 0.5000, 0.0000)  2 Ga 2.66

***

Record 3
The following is a GGA-PBE calculation of a geometry-optimized CrGaSbTe2 structure, from Alexandria via LeMat-Bulk.

Summary:
ΔE to the lowest computed polymorph, meV/atom: 0

Lattice parameters (Å, degrees): 5.3684 5.3684 5.0554 90.00 90.00 90.00
Closest atoms and distances in Å follow each position.
Space group P4/mmm (No. 123)
One atom of each set of equivalent atoms:
Cr (0.0000, 0.0000, 0.0000)  2 Sb 2.53, 4 Te 2.68
Ga (0.5000, 0.5000, 0.5000)  8 Te 3.69, 4 Sb 3.80
Sb (0.0000, 0.0000, 0.5000)  2 Cr 2.53
Te (0.0000, 0.5000, 0.0000)  2 Cr 2.68

***

Number 1: DOS at the Fermi energy 6.8 states/eV/f.u., ΔE_f (raw) 21.4 kJ/mol of atoms. Number 2: DOS at the Fermi energy 7.4 states/eV/f.u., ΔE_f (raw) 125.4 kJ/mol of atoms. Number 3: DOS at the Fermi energy 4.7 states/eV/f.u., ΔE_f (raw) 30.3 kJ/mol of atoms.